A relaxed structure of CoAsBr2N, computed with PBE.

Geometry as CIF:
```
data_CoAsBr2N
_cell_length_a 5.1041
_cell_length_b 5.1041
_cell_length_c 4.4016
_cell_angle_alpha 90.00
_cell_angle_beta 90.00
_cell_angle_gamma 90.00
_symmetry_space_group_name_H-M 'P 1'
_symmetry_Int_Tables_number 1
loop_
_symmetry_equiv_pos_as_xyz
'x,y,z'
loop_
_atom_site_label
_atom_site_fract_x
_atom_site_fract_y
_atom_site_fract_z
Co1 0.0000 0.0000 0.0000
As1 0.0000 0.0000 0.5000
Br1 0.0000 0.5000 0.0000
Br2 0.5000 0.0000 0.0000
N1 0.5000 0.5000 0.5000
```

Computed properties:
DOS at the Fermi energy   5.40 states/eV/f.u.
Energy above the lowest structure with this stoichiometry   0.0 meV per atom
Energy relative to the elements, uncorrected   1186.9 meV/atom

---

A relaxed structure of Mn2BeVHg, computed with PBE.

Geometry as CIF:
```
data_Mn2BeVHg
_cell_length_a 4.3191
_cell_length_b 4.3191
_cell_length_c 5.1133
_cell_angle_alpha 90.00
_cell_angle_beta 90.00
_cell_angle_gamma 90.00
_symmetry_space_group_name_H-M 'P 1'
_symmetry_Int_Tables_number 1
loop_
_symmetry_equiv_pos_as_xyz
'x,y,z'
loop_
_atom_site_label
_atom_site_fract_x
_atom_site_fract_y
_atom_site_fract_z
Mn1 0.0000 0.5000 0.0000
Mn2 0.5000 0.0000 0.0000
Be1 0.0000 0.0000 0.5000
V1 0.5000 0.5000 0.0000
Hg1 0.5000 0.5000 0.5000
```

Computed properties:
ΔH_f (0 K)   1280 meV/atom
DOS at the Fermi energy   3.40 states/eV/f.u.

---

A relaxed structure of TcSbRu2, computed with PBE.

Geometry as CIF:
```
data_TcSbRu2
_cell_length_a 4.8676
_cell_length_b 4.8676
_cell_length_c 4.8676
_cell_angle_alpha 132.21
_cell_angle_beta 132.21
_cell_angle_gamma 69.89
_symmetry_space_group_name_H-M 'P 1'
_symmetry_Int_Tables_number 1
loop_
_symmetry_equiv_pos_as_xyz
'x,y,z'
loop_
_atom_site_label
_atom_site_fract_x
_atom_site_fract_y
_atom_site_fract_z
Tc1 0.0000 0.0000 0.0000
Sb1 0.7500 0.2500 0.5000
Ru1 0.2500 0.7500 0.5000
Ru2 0.5000 0.5000 0.0000
```

Computed properties:
DOS at the Fermi energy   5.03 states/eV/f.u.
Energy relative to the elements, uncorrected   163.6 meV/atom

---

A relaxed structure of Tl2AgSn, computed with PBE.

Geometry as CIF:
```
data_Tl2AgSn
_cell_length_a 11.6794
_cell_length_b 11.6794
_cell_length_c 11.6794
_cell_angle_alpha 16.40
_cell_angle_beta 16.40
_cell_angle_gamma 16.40
_symmetry_space_group_name_H-M 'P 1'
_symmetry_Int_Tables_number 1
loop_
_symmetry_equiv_pos_as_xyz
'x,y,z'
loop_
_atom_site_label
_atom_site_fract_x
_atom_site_fract_y
_atom_site_fract_z
Tl1 0.0838 0.0838 0.0838
Tl2 0.9162 0.9162 0.9162
Ag1 0.0000 0.0000 0.0000
Sn1 0.5000 0.5000 0.5000
```

Computed properties:
ΔH_f (0 K)   196 meV/atom
DOS at the Fermi energy   2.17 states/eV/f.u.
Energy above the lowest structure with this stoichiometry   78.7 meV per atom

---

A relaxed structure of HfVSi2Hg, computed with PBE.

Geometry as CIF:
```
data_HfVSi2Hg
_cell_length_a 4.9673
_cell_length_b 4.9673
_cell_length_c 5.3446
_cell_angle_alpha 90.00
_cell_angle_beta 90.00
_cell_angle_gamma 90.00
_symmetry_space_group_name_H-M 'P 1'
_symmetry_Int_Tables_number 1
loop_
_symmetry_equiv_pos_as_xyz
'x,y,z'
loop_
_atom_site_label
_atom_site_fract_x
_atom_site_fract_y
_atom_site_fract_z
Hf1 0.0000 0.0000 0.0000
V1 0.5000 0.5000 0.5000
Si1 0.0000 0.5000 0.0000
Si2 0.5000 0.0000 0.0000
Hg1 0.0000 0.0000 0.5000
```

Computed properties:
DOS at the Fermi energy   11.64 states/eV/f.u.
Energy relative to the elements, uncorrected   1349.8 meV/atom

---

A relaxed structure of PuMg2N3, computed with PBE.

Geometry as CIF:
```
data_PuMg2N3
_cell_length_a 6.4045
_cell_length_b 4.6571
_cell_length_c 9.5731
_cell_angle_alpha 90.00
_cell_angle_beta 90.00
_cell_angle_gamma 90.00
_symmetry_space_group_name_H-M 'P 1'
_symmetry_Int_Tables_number 1
loop_
_symmetry_equiv_pos_as_xyz
'x,y,z'
loop_
_atom_site_label
_atom_site_fract_x
_atom_site_fract_y
_atom_site_fract_z
Pu1 0.1414 0.2500 0.0886
Pu2 0.3586 0.7500 0.5886
Pu3 0.6414 0.2500 0.4114
Pu4 0.8586 0.7500 0.9114
Mg1 0.1091 0.2500 0.7499
Mg2 0.1313 0.2500 0.4216
Mg3 0.3687 0.7500 0.9216
Mg4 0.3909 0.7500 0.2499
Mg5 0.6091 0.2500 0.7501
Mg6 0.6313 0.2500 0.0784
Mg7 0.8687 0.7500 0.5784
Mg8 0.8909 0.7500 0.2501
N1 0.0952 0.7500 0.7544
N2 0.1291 0.7500 0.0844
N3 0.1437 0.7500 0.4294
N4 0.3563 0.2500 0.9294
N5 0.3709 0.2500 0.5844
N6 0.4048 0.2500 0.2544
N7 0.5952 0.7500 0.7456
N8 0.6291 0.7500 0.4156
N9 0.6437 0.7500 0.0706
N10 0.8563 0.2500 0.5706
N11 0.8709 0.2500 0.9156
N12 0.9048 0.2500 0.2456
```

Computed properties:
DOS at the Fermi energy   2.95 states/eV/f.u.
Energy relative to the elements, uncorrected   -967.9 meV/atom

---

Copy entry 4 word for word.
A relaxed structure of Tl2AgSn, computed with PBE.

Geometry as CIF:
```
data_Tl2AgSn
_cell_length_a 11.6794
_cell_length_b 11.6794
_cell_length_c 11.6794
_cell_angle_alpha 16.40
_cell_angle_beta 16.40
_cell_angle_gamma 16.40
_symmetry_space_group_name_H-M 'P 1'
_symmetry_Int_Tables_number 1
loop_
_symmetry_equiv_pos_as_xyz
'x,y,z'
loop_
_atom_site_label
_atom_site_fract_x
_atom_site_fract_y
_atom_site_fract_z
Tl1 0.0838 0.0838 0.0838
Tl2 0.9162 0.9162 0.9162
Ag1 0.0000 0.0000 0.0000
Sn1 0.5000 0.5000 0.5000
```

Computed properties:
ΔH_f (0 K)   196 meV/atom
DOS at the Fermi energy   2.17 states/eV/f.u.
Energy above the lowest structure with this stoichiometry   78.7 meV per atom